FeTePCl2: optimized geometry, PBE-GGA.

abc: 5.1494 5.1494 5.3914
angles: 90.00 90.00 90.00
Fractional positions:
1 P 0.0000 0.0000 0.5000
2 Cl 0.0000 0.5000 0.0000
3 Cl 0.5000 0.0000 0.0000
4 Fe 0.5000 0.5000 0.5000
5 Te 0.0000 0.0000 0.0000

Output
E above lowest polymorph: 0.6511 eV per atom
Space-group type: P4/mmm, No. 123
Uncorrected energy: -3.238 eV per atom

---

FeTePCl2: optimized geometry, PBE-GGA.

abc: 4.4950 4.4950 4.7383
angles: 90.00 90.00 90.00
Fractional positions:
1 Te 0.5000 0.5000 0.5000
2 Fe 0.0000 0.0000 0.0000
3 Cl 0.5000 0.0000 0.0000
4 Cl 0.0000 0.5000 0.0000
5 P 0.0000 0.0000 0.5000

Output
E above lowest polymorph: 0.0000 eV per atom
Space-group type: P4/mmm, No. 123
Uncorrected energy: -3.889 eV per atom

---

TiFeP2Cl: optimized geometry, PBE-GGA.

abc: 4.3177 4.3177 4.7124
angles: 90.00 90.00 90.00
Fractional positions:
1 P 0.5000 0.0000 0.0000
2 P 0.0000 0.5000 0.0000
3 Fe 0.0000 0.0000 0.0000
4 Ti 0.5000 0.5000 0.5000
5 Cl 0.0000 0.0000 0.5000

Output
E above lowest polymorph: 0.0000 eV per atom
Space-group type: P4/mmm, No. 123
Uncorrected energy: -5.471 eV per atom

---

Repeat the third record exactly.
TiFeP2Cl: optimized geometry, PBE-GGA.

abc: 4.3177 4.3177 4.7124
angles: 90.00 90.00 90.00
Fractional positions:
1 P 0.5000 0.0000 0.0000
2 P 0.0000 0.5000 0.0000
3 Fe 0.0000 0.0000 0.0000
4 Ti 0.5000 0.5000 0.5000
5 Cl 0.0000 0.0000 0.5000

Output
E above lowest polymorph: 0.0000 eV per atom
Space-group type: P4/mmm, No. 123
Uncorrected energy: -5.471 eV per atom

---

Copy entry 3 word for word.
TiFeP2Cl: optimized geometry, PBE-GGA.

abc: 4.3177 4.3177 4.7124
angles: 90.00 90.00 90.00
Fractional positions:
1 P 0.5000 0.0000 0.0000
2 P 0.0000 0.5000 0.0000
3 Fe 0.0000 0.0000 0.0000
4 Ti 0.5000 0.5000 0.5000
5 Cl 0.0000 0.0000 0.5000

Output
E above lowest polymorph: 0.0000 eV per atom
Space-group type: P4/mmm, No. 123
Uncorrected energy: -5.471 eV per atom

---

Question: The highest uncorrected energy belongs to which entry?
Answer: number 1

---

Question: E above lowest polymorph of number 3 (TiFeP2Cl)?
Answer: 0.0000 eV per atom